# SrPtAu11 PBE relaxed
data_SrPtAu11
_cell_length_a 5.685
_cell_length_b 13.394
_cell_length_c 7.262
_cell_angle_alpha 90.00
_cell_angle_beta 111.27
_cell_angle_gamma 90.00
_space_group_name_H-M_alt 'C 1 2/m 1'
_space_group_IT_number 12
loop_
_space_group_symop_operation_xyz
'x,y,z'
'-x,-y,-z'
'-x,y,-z'
'x,-y,z'
'x+1/2,y+1/2,z'
'-x+1/2,-y+1/2,-z'
'-x+1/2,y+1/2,-z'
'x+1/2,-y+1/2,z'
loop_
_atom_site_label
_atom_site_type_symbol
_atom_site_fract_x
_atom_site_fract_y
_atom_site_fract_z
Sr1 Sr 0.000 0.000 0.000
Pt1 Pt 0.000 0.000 0.500
Au1 Au 0.000 0.500 0.500
Au2 Au 0.110 0.392 0.217
Au3 Au 0.154 0.174 0.351
Au4 Au 0.250 0.250 0.000
# - D(E_F): 8.7 states/eV/cell
# - Uncorrected energy: -46.38 eV/f.u.